1.
8
Lattice="3.900 0.000 0.000 -0.881 6.465 0.000 -1.144 -2.963 5.978" Properties=species:S:1:pos:R:3 comment="MnCuSe2 (GGA-PBEsol, relaxed)" raw_formation_energy_ev_per_atom=-0.215 dft_energy_ev_per_cell=-45.3 pbc="T T T"
Mn 0.000 0.000 0.000
Mn 0.843 -0.119 3.157
Cu -0.027 2.167 4.015
Cu 2.533 3.147 1.273
Se 0.581 1.877 1.691
Se 0.796 -2.062 4.721
Se 1.926 5.361 1.946
Se 1.956 1.128 5.036

***

2.
5
Lattice="-1.977 1.977 6.875 1.977 -1.977 6.875 1.977 1.977 -6.875" Properties=species:S:1:pos:R:3 comment="MnTlCuSe2 (GGA-PBEsol, relaxed)" raw_formation_energy_ev_per_atom=-0.267 dft_energy_ev_per_cell=-25.8 pbc="T T T"
Mn 0.000 0.000 0.000
Tl 0.000 1.977 3.437
Cu 0.000 0.000 6.875
Se 1.977 0.000 1.524
Se 1.977 0.000 5.351

***

3.
4
Lattice="4.390 -1.295 0.000 4.390 1.295 0.000 -1.002 0.000 4.078" Properties=species:S:1:pos:R:3 comment="MnCu2Si (GGA-PBEsol, relaxed)" raw_formation_energy_ev_per_atom=-0.056 dft_energy_ev_per_cell=-24.4 pbc="T T T"
Mn 0.000 0.000 0.000
Cu 1.387 0.000 3.047
Cu 6.391 0.000 1.030
Si 3.889 0.000 2.039